Record 1
{"formula": "VFeMoIr", "functional": "PBE", "state": "relaxed", "vol_a3_per_fu": 55.5, "formation_enthalpy_0k_ev_per_atom": -0.144, "rho_g_cm3": 11.817, "lattice": [[6.055, 0.000, 0.000], [0.000, 6.055, 0.000], [0.000, 0.000, 6.055]], "species": ["V", "V", "V", "V", "Fe", "Fe", "Fe", "Fe", "Mo", "Mo", "Mo", "Mo", "Ir", "Ir", "Ir", "Ir"], "frac_coords": [[0.000, 0.000, 0.000], [0.000, 0.500, 0.500], [0.500, 0.000, 0.500], [0.500, 0.500, 0.000], [0.000, 0.000, 0.500], [0.000, 0.500, 0.000], [0.500, 0.000, 0.000], [0.500, 0.500, 0.500], [0.250, 0.250, 0.250], [0.250, 0.750, 0.750], [0.750, 0.250, 0.750], [0.750, 0.750, 0.250], [0.250, 0.250, 0.750], [0.250, 0.750, 0.250], [0.750, 0.250, 0.250], [0.750, 0.750, 0.750]]}


Record 2
{"formula": "V5Fe2MoIr2", "functional": "PBE", "state": "relaxed", "vol_a3_per_fu": 134.7, "formation_enthalpy_0k_ev_per_atom": 0.006, "rho_g_cm3": 10.436, "lattice": [[9.330, 0.000, 0.000], [0.000, 9.330, 0.000], [0.000, 0.000, 3.095]], "species": ["V", "V", "V", "V", "V", "V", "V", "V", "V", "V", "Fe", "Fe", "Fe", "Fe", "Mo", "Mo", "Ir", "Ir", "Ir", "Ir"], "frac_coords": [[0.000, 0.500, 0.000], [0.069, 0.202, 0.000], [0.202, 0.931, 0.000], [0.298, 0.431, 0.000], [0.431, 0.702, 0.000], [0.500, 0.000, 0.000], [0.569, 0.298, 0.000], [0.702, 0.569, 0.000], [0.798, 0.069, 0.000], [0.931, 0.798, 0.000], [0.126, 0.374, 0.500], [0.374, 0.874, 0.500], [0.626, 0.126, 0.500], [0.874, 0.626, 0.500], [0.000, 0.000, 0.500], [0.500, 0.500, 0.500], [0.172, 0.672, 0.500], [0.328, 0.172, 0.500], [0.672, 0.828, 0.500], [0.828, 0.328, 0.500]]}


Record 3
{"formula": "ZnFeMoIr", "functional": "PBE", "state": "relaxed", "vol_a3_per_fu": 55.7, "formation_enthalpy_0k_ev_per_atom": 0.013, "rho_g_cm3": 12.210, "lattice": [[6.062, 0.000, 0.000], [0.000, 6.062, 0.000], [0.000, 0.000, 6.062]], "species": ["Zn", "Zn", "Zn", "Zn", "Fe", "Fe", "Fe", "Fe", "Mo", "Mo", "Mo", "Mo", "Ir", "Ir", "Ir", "Ir"], "frac_coords": [[0.000, 0.000, 0.000], [0.000, 0.500, 0.500], [0.500, 0.000, 0.500], [0.500, 0.500, 0.000], [0.250, 0.250, 0.750], [0.250, 0.750, 0.250], [0.750, 0.250, 0.250], [0.750, 0.750, 0.750], [0.000, 0.000, 0.500], [0.000, 0.500, 0.000], [0.500, 0.000, 0.000], [0.500, 0.500, 0.500], [0.250, 0.250, 0.250], [0.250, 0.750, 0.750], [0.750, 0.250, 0.750], [0.750, 0.750, 0.250]]}


Record 4
{"formula": "Fe2IrN", "functional": "PBE", "state": "relaxed", "vol_a3_per_fu": 46.5, "raw_formation_energy_ev_per_atom": 1.133, "rho_g_cm3": 11.352, "e_above_lowest_polymorph_ev_per_atom": 0.859, "lattice": [[5.708, 0.000, 0.000], [0.000, 5.708, 0.000], [0.000, 0.000, 5.708]], "species": ["Fe", "Fe", "Fe", "Fe", "Fe", "Fe", "Fe", "Fe", "Ir", "Ir", "Ir", "Ir", "N", "N", "N", "N"], "frac_coords": [[0.250, 0.250, 0.250], [0.250, 0.250, 0.750], [0.250, 0.750, 0.250], [0.250, 0.750, 0.750], [0.750, 0.250, 0.250], [0.750, 0.250, 0.750], [0.750, 0.750, 0.250], [0.750, 0.750, 0.750], [0.000, 0.000, 0.000], [0.000, 0.500, 0.500], [0.500, 0.000, 0.500], [0.500, 0.500, 0.000], [0.000, 0.000, 0.500], [0.000, 0.500, 0.000], [0.500, 0.000, 0.000], [0.500, 0.500, 0.500]]}


Record 5
{"formula": "FeIrN2", "functional": "PBE", "state": "relaxed", "vol_a3_per_fu": 36.4, "raw_formation_energy_ev_per_atom": 1.257, "rho_g_cm3": 12.609, "e_above_lowest_polymorph_ev_per_atom": 1.002, "lattice": [[5.259, 0.000, 0.000], [0.000, 5.259, 0.000], [0.000, 0.000, 5.259]], "species": ["Fe", "Fe", "Fe", "Fe", "Ir", "Ir", "Ir", "Ir", "N", "N", "N", "N", "N", "N", "N", "N"], "frac_coords": [[0.000, 0.000, 0.000], [0.000, 0.500, 0.500], [0.500, 0.000, 0.500], [0.500, 0.500, 0.000], [0.000, 0.000, 0.500], [0.000, 0.500, 0.000], [0.500, 0.000, 0.000], [0.500, 0.500, 0.500], [0.250, 0.250, 0.250], [0.250, 0.250, 0.750], [0.250, 0.750, 0.250], [0.250, 0.750, 0.750], [0.750, 0.250, 0.250], [0.750, 0.250, 0.750], [0.750, 0.750, 0.250], [0.750, 0.750, 0.750]]}


Record 6
{"formula": "Fe2IrN", "functional": "PBE", "state": "relaxed", "vol_a3_per_fu": 45.4, "raw_formation_energy_ev_per_atom": 0.358, "rho_g_cm3": 11.632, "e_above_lowest_polymorph_ev_per_atom": 0.084, "lattice": [[2.725, 0.000, 0.000], [-1.363, 2.360, 0.000], [0.000, 0.000, 21.169]], "species": ["Fe", "Fe", "Fe", "Fe", "Fe", "Fe", "Ir", "Ir", "Ir", "N", "N", "N"], "frac_coords": [[0.000, 0.000, 0.115], [0.000, 0.000, 0.885], [0.333, 0.667, 0.552], [0.333, 0.667, 0.782], [0.667, 0.333, 0.218], [0.667, 0.333, 0.448], [0.000, 0.000, 0.000], [0.333, 0.667, 0.667], [0.667, 0.333, 0.333], [0.000, 0.000, 0.500], [0.333, 0.667, 0.167], [0.667, 0.333, 0.833]]}


Record 7
{"formula": "Fe2IrN3", "functional": "PBE", "state": "relaxed", "vol_a3_per_fu": 60.6, "raw_formation_energy_ev_per_atom": 0.197, "rho_g_cm3": 9.482, "lattice": [[4.549, -2.735, 0.000], [4.549, 2.735, 0.000], [0.000, 0.000, 4.869]], "species": ["Fe", "Fe", "Fe", "Fe", "Ir", "Ir", "N", "N", "N", "N", "N", "N"], "frac_coords": [[0.020, 0.354, 0.000], [0.354, 0.020, 0.500], [0.646, 0.980, 0.000], [0.980, 0.646, 0.500], [0.392, 0.608, 0.002], [0.608, 0.392, 0.502], [0.010, 0.304, 0.626], [0.259, 0.741, 0.613], [0.304, 0.010, 0.126], [0.696, 0.990, 0.626], [0.741, 0.259, 0.113], [0.990, 0.696, 0.126]]}


Record 8
{"formula": "FeIr2N", "functional": "PBE", "state": "relaxed", "vol_a3_per_fu": 59.6, "raw_formation_energy_ev_per_atom": 0.832, "rho_g_cm3": 12.658, "lattice": [[4.902, 0.000, 0.000], [0.000, 4.902, 0.000], [0.000, 0.000, 9.919]], "species": ["Fe", "Fe", "Fe", "Fe", "Ir", "Ir", "Ir", "Ir", "Ir", "Ir", "Ir", "Ir", "N", "N", "N", "N"], "frac_coords": [[0.000, 0.000, 0.000], [0.000, 0.500, 0.250], [0.500, 0.000, 0.750], [0.500, 0.500, 0.500], [0.189, 0.250, 0.625], [0.250, 0.689, 0.875], [0.250, 0.811, 0.375], [0.311, 0.250, 0.125], [0.689, 0.750, 0.125], [0.750, 0.189, 0.375], [0.750, 0.311, 0.875], [0.811, 0.750, 0.625], [0.000, 0.000, 0.500], [0.000, 0.500, 0.750], [0.500, 0.000, 0.250], [0.500, 0.500, 0.000]]}


Record 9
{"formula": "Fe4IrN4", "functional": "PBE", "state": "relaxed", "vol_a3_per_fu": 86.8, "raw_formation_energy_ev_per_atom": 0.217, "rho_g_cm3": 9.023, "lattice": [[5.423, 0.000, 0.000], [-2.678, 5.034, 0.000], [-1.441, -1.029, 6.358]], "species": ["Fe", "Fe", "Fe", "Fe", "Fe", "Fe", "Fe", "Fe", "Ir", "Ir", "N", "N", "N", "N", "N", "N", "N", "N"], "frac_coords": [[0.029, 0.320, 0.092], [0.274, 0.595, 0.463], [0.312, 0.058, 0.710], [0.414, 0.657, 0.926], [0.586, 0.343, 0.074], [0.688, 0.942, 0.290], [0.726, 0.405, 0.537], [0.971, 0.680, 0.908], [0.201, 0.006, 0.273], [0.799, 0.994, 0.727], [0.154, 0.677, 0.694], [0.222, 0.274, 0.889], [0.270, 0.703, 0.166], [0.325, 0.285, 0.507], [0.675, 0.715, 0.493], [0.730, 0.297, 0.834], [0.778, 0.726, 0.111], [0.846, 0.323, 0.306]]}


Record 10
{"formula": "Fe2IrN", "functional": "PBE", "state": "relaxed", "vol_a3_per_fu": 44.5, "raw_formation_energy_ev_per_atom": 0.274, "rho_g_cm3": 11.854, "e_above_lowest_polymorph_ev_per_atom": 0.000, "lattice": [[5.779, 0.000, 0.000], [0.000, 5.779, 0.000], [0.000, 0.000, 5.334]], "species": ["Fe", "Fe", "Fe", "Fe", "Fe", "Fe", "Fe", "Fe", "Ir", "Ir", "Ir", "Ir", "N", "N", "N", "N"], "frac_coords": [[0.142, 0.750, 0.125], [0.250, 0.142, 0.875], [0.250, 0.358, 0.375], [0.358, 0.750, 0.625], [0.642, 0.250, 0.625], [0.750, 0.642, 0.375], [0.750, 0.858, 0.875], [0.858, 0.250, 0.125], [0.000, 0.000, 0.500], [0.000, 0.500, 0.750], [0.500, 0.000, 0.250], [0.500, 0.500, 0.000], [0.000, 0.000, 0.000], [0.000, 0.500, 0.250], [0.500, 0.000, 0.750], [0.500, 0.500, 0.500]]}


Record 11
{"formula": "FeIrN", "functional": "PBE", "state": "relaxed", "vol_a3_per_fu": 34.2, "raw_formation_energy_ev_per_atom": 0.605, "rho_g_cm3": 12.719, "lattice": [[7.206, 0.000, 0.000], [0.000, 2.702, 0.000], [-0.838, 0.000, 7.030]], "species": ["Fe", "Fe", "Fe", "Fe", "Ir", "Ir", "Ir", "Ir", "N", "N", "N", "N"], "frac_coords": [[0.131, 0.000, 0.432], [0.369, 0.500, 0.568], [0.631, 0.500, 0.432], [0.869, 0.000, 0.568], [0.179, 0.000, 0.780], [0.321, 0.500, 0.220], [0.679, 0.500, 0.780], [0.821, 0.000, 0.220], [0.087, 0.500, 0.984], [0.413, 0.000, 0.016], [0.587, 0.000, 0.984], [0.913, 0.500, 0.016]]}


Record 12
{"formula": "FeIrN2", "functional": "PBE", "state": "relaxed", "vol_a3_per_fu": 43.6, "raw_formation_energy_ev_per_atom": 0.286, "rho_g_cm3": 10.521, "e_above_lowest_polymorph_ev_per_atom": 0.031, "lattice": [[4.455, 0.000, 0.000], [0.000, 4.455, 0.000], [0.000, 0.000, 8.780]], "species": ["Fe", "Fe", "Fe", "Fe", "Ir", "Ir", "Ir", "Ir", "N", "N", "N", "N", "N", "N", "N", "N"], "frac_coords": [[0.000, 0.000, 0.000], [0.000, 0.500, 0.250], [0.500, 0.000, 0.750], [0.500, 0.500, 0.500], [0.000, 0.000, 0.500], [0.000, 0.500, 0.750], [0.500, 0.000, 0.250], [0.500, 0.500, 0.000], [0.218, 0.250, 0.125], [0.250, 0.718, 0.375], [0.250, 0.782, 0.875], [0.282, 0.250, 0.625], [0.718, 0.750, 0.625], [0.750, 0.218, 0.875], [0.750, 0.282, 0.375], [0.782, 0.750, 0.125]]}